PAuCl | PBE-GGA | optimized geometry

abc: 3.674 3.674 5.245
angles: 90.00 90.00 120.00
Fractional positions:
P: 0.000 0.000 0.000
Au: 0.667 0.333 0.234
Cl: 0.333 0.667 0.592

Computed properties:
The relative energy among the computed polymorphs comes out at 267.2 meV/atom.